(1)
Computed, not measured: a relaxed structure of K2SiRu at the PBE-GGA level of DFT.

calculated volume	21.3	A^3/atom
final energy	-3.342	eV per atom
DOS(E_F)	3.39	states/eV per cell

```
K2SiRu
1.0
-1.9567 1.9567 5.5557
1.9567 -1.9567 5.5557
1.9567 1.9567 -5.5557
K Si Ru
2 1 1
Direct
0.2500 0.7500 0.5000
0.7500 0.2500 0.5000
0.0000 0.0000 0.0000
0.5000 0.5000 0.0000
```



(2)
Computed, not measured: a relaxed structure of Y5InAu2 at the PBE-GGA level of DFT.

calculated volume	27.1	A^3/atom
final energy	-5.795	eV per atom
DOS(E_F)	23.20	states/eV per cell

```
Y5InAu2
1.0
-4.0395 4.0395 6.6405
4.0395 -4.0395 6.6405
4.0395 4.0395 -6.6405
Y In Au
10 2 4
Direct
0.0000 0.0000 0.0000
0.0138 0.5138 0.8150
0.1988 0.0138 0.5000
0.3012 0.8012 0.8150
0.4862 0.3012 0.5000
0.5000 0.5000 0.0000
0.5138 0.6988 0.5000
0.6988 0.1988 0.1850
0.8012 0.9862 0.5000
0.9862 0.4862 0.1850
0.2500 0.2500 0.0000
0.7500 0.7500 0.0000
0.1354 0.3646 0.5000
0.3646 0.8646 0.2292
0.6354 0.1354 0.7708
0.8646 0.6354 0.5000
```



(3)
Computed, not measured: a relaxed structure of NaLa2RuC at the PBE-GGA level of DFT.

calculated volume	23.4	A^3/atom
final energy	-5.980	eV per atom
DOS(E_F)	3.93	states/eV per cell

```
NaLa2RuC
1.0
5.4158 0.0000 0.0000
0.0000 5.4158 0.0000
0.0000 0.0000 3.9814
Na La Ru C
1 2 1 1
Direct
0.0000 0.0000 0.0000
0.0000 0.5000 0.5000
0.5000 0.0000 0.5000
0.5000 0.5000 0.0000
0.5000 0.5000 0.5000
```



(4)
Computed, not measured: a relaxed structure of MnCrPd14 at the PBE-GGA level of DFT.

calculated volume	15.2	A^3/atom
final energy	-5.789	eV per atom
DOS(E_F)	30.12	states/eV per cell

```
MnCrPd14
1.0
5.5683 0.0000 0.0000
0.0000 5.5683 0.0000
0.0000 0.0000 7.8416
Mn Cr Pd
1 1 14
Direct
0.0000 0.0000 0.0000
0.5000 0.5000 0.0000
0.0000 0.0000 0.5000
0.0000 0.5000 0.0000
0.0000 0.5000 0.5000
0.2509 0.2509 0.2443
0.2509 0.2509 0.7557
0.2509 0.7491 0.2443
0.2509 0.7491 0.7557
0.5000 0.0000 0.0000
0.5000 0.0000 0.5000
0.5000 0.5000 0.5000
0.7491 0.2509 0.2443
0.7491 0.2509 0.7557
0.7491 0.7491 0.2443
0.7491 0.7491 0.7557
```



(5)
Computed, not measured: a relaxed structure of LiY2AlPd6 at the PBE-GGA level of DFT.

calculated volume	21.2	A^3/atom
final energy	-5.594	eV per atom
DOS(E_F)	4.61	states/eV per cell

```
LiY2AlPd6
1.0
4.8841 -2.8202 0.0000
4.8841 2.8202 0.0000
-3.2312 0.0000 7.6954
Li Y Al Pd
1 2 1 6
Direct
0.0000 0.0000 0.0000
0.2026 0.2026 0.6089
0.7974 0.7974 0.3911
0.5000 0.5000 0.5000
0.2381 0.7465 0.7336
0.2533 0.2533 0.2658
0.2535 0.7619 0.2664
0.7465 0.2381 0.7336
0.7467 0.7467 0.7342
0.7619 0.2535 0.2664
```



(6)
Computed, not measured: a relaxed structure of AgCSeBr2 at the PBE-GGA level of DFT.

calculated volume	23.0	A^3/atom
final energy	-2.768	eV per atom
DOS(E_F)	2.40	states/eV per cell

```
AgCSeBr2
1.0
5.3986 0.0000 0.0000
0.0000 5.3986 0.0000
0.0000 0.0000 3.9493
Ag C Se Br
1 1 1 2
Direct
0.0000 0.0000 0.0000
0.5000 0.5000 0.5000
0.5000 0.5000 0.0000
0.0000 0.5000 0.5000
0.5000 0.0000 0.5000
```



(7)
Computed, not measured: a relaxed structure of AcTb8 at the PBE-GGA level of DFT.

calculated volume	33.2	A^3/atom
final energy	-4.539	eV per atom
DOS(E_F)	13.23	states/eV per cell

```
AcTb8
1.0
-5.4174 5.4174 2.5440
5.4174 -5.4174 2.5440
5.4174 5.4174 -2.5440
Ac Tb
1 8
Direct
0.0000 0.0000 0.0000
0.0000 0.3367 0.3367
0.0000 0.6633 0.6633
0.3295 0.3295 0.6591
0.3295 0.6705 0.0000
0.3367 0.0000 0.3367
0.6633 0.0000 0.6633
0.6705 0.3295 0.0000
0.6705 0.6705 0.3409
```



(8)
Computed, not measured: a relaxed structure of LaScNi3 at the PBE-GGA level of DFT.

calculated volume	20.1	A^3/atom
final energy	-5.526	eV per atom
DOS(E_F)	4.02	states/eV per cell

```
LaScNi3
1.0
4.6530 0.0000 0.0000
0.0000 4.6530 0.0000
0.0000 0.0000 4.6530
La Sc Ni
1 1 3
Direct
0.0000 0.0000 0.0000
0.5000 0.5000 0.5000
0.0000 0.5000 0.5000
0.5000 0.0000 0.5000
0.5000 0.5000 0.0000
```



(9)
Computed, not measured: a relaxed structure of KPtSe at the PBE-GGA level of DFT.

calculated volume	26.6	A^3/atom
final energy	-4.135	eV per atom
DOS(E_F)	1.69	states/eV per cell

```
KPtSe
1.0
4.2466 0.0000 0.0000
-2.1233 3.6776 0.0000
0.0000 0.0000 5.1135
K Pt Se
1 1 1
Direct
0.0000 0.0000 0.0000
0.6667 0.3333 0.5000
0.3333 0.6667 0.5000
```



(10)
Computed, not measured: a relaxed structure of NbGa2I2 at the PBE-GGA level of DFT.

calculated volume	30.8	A^3/atom
final energy	-3.370	eV per atom
DOS(E_F)	2.43	states/eV per cell

```
NbGa2I2
1.0
7.6764 0.0000 0.0000
0.0000 7.6764 0.0000
0.0000 0.0000 5.2184
Nb Ga I
2 4 4
Direct
0.0000 0.0000 0.0000
0.5000 0.5000 0.0000
0.1639 0.3361 0.5000
0.3361 0.8361 0.5000
0.6639 0.1639 0.5000
0.8361 0.6639 0.5000
0.1679 0.6679 0.0000
0.3321 0.1679 0.0000
0.6679 0.8321 0.0000
0.8321 0.3321 0.0000
```



(11)
Computed, not measured: a relaxed structure of CaY2MoN4 at the PBE-GGA level of DFT.

calculated volume	15.4	A^3/atom
final energy	-8.442	eV per atom
DOS(E_F)	4.71	states/eV per cell

```
CaY2MoN4
1.0
1.6783 -6.0362 0.0000
1.6783 6.0362 0.0000
0.0000 0.0000 12.1773
Ca Y Mo N
2 4 2 8
Direct
0.0700 0.9300 0.7500
0.9300 0.0700 0.2500
0.3727 0.6273 0.5394
0.3727 0.6273 0.9606
0.6273 0.3727 0.0394
0.6273 0.3727 0.4606
0.1851 0.8149 0.2500
0.8149 0.1851 0.7500
0.0000 0.0000 0.0000
0.0000 0.0000 0.5000
0.2622 0.7378 0.1169
0.2622 0.7378 0.3831
0.4257 0.5743 0.7500
0.5743 0.4257 0.2500
0.7378 0.2622 0.6169
0.7378 0.2622 0.8831
```



(12)
Computed, not measured: a relaxed structure of SiTe at the PBE-GGA level of DFT.

calculated volume	26.1	A^3/atom
final energy	-4.058	eV per atom
DOS(E_F)	2.32	states/eV per cell

```
SiTe
1.0
5.8526 -1.8575 0.0000
5.8526 1.8575 0.0000
-3.6307 0.0000 7.2123
Si Te
3 3
Direct
0.0000 0.0000 0.0000
0.0929 0.0929 0.3318
0.3330 0.3330 0.9545
0.4139 0.4139 0.3147
0.6162 0.6162 0.8824
0.7629 0.7629 0.5159
```